No. 1
Density functional theory data (PBEsol) for crystalline SrHg2Bi at its relaxed geometry.

Summary:
The magnetization comes out at 0.00 μB per formula unit. The value obtained for the volume is 247.6 Å³/cell. For the energy of formation from the pure elements, the calculation gives -362.2 meV per atom. The energy is -17.42 eV/cell.

Lattice parameters (Å, degrees): 11.5825 11.5825 11.5825 156.46 156.46 33.53
With the nearest neighbours (Å) after each atom.
Fractional positions:
Sr 0.0000 0.0000 0.0000  4 Hg 3.30, 4 Bi 3.34
Sr 0.7500 0.2500 0.5000  4 Hg 3.30, 4 Bi 3.34
Hg 0.1578 0.6250 0.0328  2 Hg 3.13, 2 Bi 3.18, 2 Sr 3.30
Hg 0.3750 0.4078 0.5328  2 Hg 3.13, 2 Bi 3.18, 2 Sr 3.30
Hg 0.5922 0.1250 0.9672  2 Hg 3.13, 2 Bi 3.18, 2 Sr 3.30
Hg 0.8750 0.8422 0.4672  2 Hg 3.13, 2 Bi 3.18, 2 Sr 3.30
Bi 0.2500 0.7500 0.5000  4 Hg 3.18, 4 Sr 3.34
Bi 0.5000 0.5000 0.0000  4 Hg 3.18, 4 Sr 3.34



No. 2
Density functional theory data (PBEsol) for crystalline TaHgBi2 at its relaxed geometry.

Summary:
The magnetization comes out at 0.01 μB per formula unit. The value obtained for the volume is 281.9 Å³/cell. For the energy of formation from the pure elements, the calculation gives 836.6 meV per atom. The energy is -36.69 eV/cell.

Lattice parameters (Å, degrees): 7.8676 7.8676 7.8676 129.61 129.61 74.04
With the nearest neighbours (Å) after each atom.
Fractional positions:
Ta 0.0000 0.0000 0.0000  4 Bi 2.73
Ta 0.7500 0.2500 0.5000  4 Bi 2.73
Hg 0.2500 0.7500 0.5000  4 Bi 2.96
Hg 0.5000 0.5000 0.0000  4 Bi 2.96
Bi 0.0962 0.6250 0.9712  2 Ta 2.73, 2 Hg 2.96
Bi 0.3750 0.3462 0.4712  2 Ta 2.73, 2 Hg 2.96
Bi 0.6538 0.1250 0.0288  2 Ta 2.73, 2 Hg 2.96
Bi 0.8750 0.9038 0.5288  2 Ta 2.73, 2 Hg 2.96



No. 3
Density functional theory data (PBEsol) for crystalline HgBiTe3 at its relaxed geometry.

Summary:
The magnetization comes out at 0.00 μB per formula unit. The value obtained for the volume is 163.9 Å³/cell. For the formation energy (no corrections), the calculation gives 0.530 eV/atom. The energy is -12.78 eV/cell.

Lattice parameters (Å, degrees): 5.4731 5.4731 5.4731 90.00 90.00 90.00
With the nearest neighbours (Å) after each atom.
Fractional positions:
Hg 0.0000 0.0000 0.0000  6 Te 2.74
Bi 0.5000 0.5000 0.5000  12 Te 3.87
Te 0.0000 0.0000 0.5000  2 Hg 2.74
Te 0.0000 0.5000 0.0000  2 Hg 2.74
Te 0.5000 0.0000 0.0000  2 Hg 2.74



No. 4
Density functional theory data (PBEsol) for crystalline ZnHgBi2Te at its relaxed geometry.

Summary:
The magnetization comes out at 0.00 μB per formula unit. The value obtained for the volume is 177.3 Å³/cell. For the formation energy (no corrections), the calculation gives 0.809 eV/atom. The energy is -10.20 eV/cell.

Lattice parameters (Å, degrees): 5.6544 5.6544 5.5462 90.00 90.00 90.00
With the nearest neighbours (Å) after each atom.
Fractional positions:
Zn 0.0000 0.0000 0.0000  8 Bi 3.96, 4 Te 4.00
Hg 0.5000 0.5000 0.5000  2 Te 2.77, 4 Bi 2.83
Bi 0.0000 0.5000 0.5000  2 Hg 2.83
Bi 0.5000 0.0000 0.5000  2 Hg 2.83
Te 0.5000 0.5000 0.0000  2 Hg 2.77



No. 5
Density functional theory data (PBEsol) for crystalline Tl2Hg2Bi at its relaxed geometry.

Summary:
The magnetization comes out at 0.00 μB per formula unit. The value obtained for the volume is 145.6 Å³/cell. For the energy of formation from the pure elements, the calculation gives 63.0 meV per atom. The energy is -10.36 eV/cell. The value obtained for the energy above the most stable polymorph in this dataset is 0.058 eV per atom.

Lattice parameters (Å, degrees): 9.3921 9.3921 9.3921 155.19 155.19 35.37
With the nearest neighbours (Å) after each atom.
Fractional positions:
Tl 0.1001 0.1001 0.0000  4 Hg 3.36, 4 Bi 3.37, 1 Tl 3.58
Tl 0.8999 0.8999 0.0000  4 Hg 3.36, 4 Bi 3.37, 1 Tl 3.58
Hg 0.2500 0.7500 0.5000  4 Hg 2.85
Hg 0.7500 0.2500 0.5000  4 Hg 2.85
Bi 0.5000 0.5000 0.0000  8 Tl 3.37



No. 6
Density functional theory data (PBEsol) for crystalline TlHgBi2 at its relaxed geometry.

Summary:
The magnetization comes out at 0.00 μB per formula unit. The value obtained for the volume is 302.6 Å³/cell. For the energy of formation from the pure elements, the calculation gives 241.5 meV per atom. The energy is -21.60 eV/cell.

Lattice parameters (Å, degrees): 8.2363 8.2363 8.2363 131.98 131.98 70.26
With the nearest neighbours (Å) after each atom.
Fractional positions:
Tl 0.0000 0.0000 0.0000  4 Bi 2.96
Tl 0.7500 0.2500 0.5000  4 Bi 2.96
Hg 0.2500 0.7500 0.5000  4 Bi 2.86
Hg 0.5000 0.5000 0.0000  4 Bi 2.86
Bi 0.1376 0.6250 0.0126  2 Hg 2.86, 2 Tl 2.96
Bi 0.3750 0.3876 0.5126  2 Hg 2.86, 2 Tl 2.96
Bi 0.6124 0.1250 0.9874  2 Hg 2.86, 2 Tl 2.96
Bi 0.8750 0.8624 0.4874  2 Hg 2.86, 2 Tl 2.96



No. 7
Density functional theory data (PBEsol) for crystalline Tl2Hg2Bi at its relaxed geometry.

Summary:
The magnetization comes out at 0.00 μB per formula unit. The value obtained for the volume is 282.1 Å³/cell. For the energy of formation from the pure elements, the calculation gives 4.9 meV per atom. The energy is -21.31 eV/cell. The value obtained for the energy above the most stable polymorph in this dataset is 0.000 eV per atom.

Lattice parameters (Å, degrees): 7.7443 7.7443 4.7041 90.00 90.00 90.00
With the nearest neighbours (Å) after each atom.
Fractional positions:
Tl 0.1741 0.3259 0.0000  6 Hg 3.18-3.35
Tl 0.3259 0.8259 0.0000  6 Hg 3.18-3.35
Tl 0.6741 0.1741 0.0000  6 Hg 3.18-3.35
Tl 0.8259 0.6741 0.0000  6 Hg 3.18-3.35
Hg 0.1309 0.6309 0.5000  1 Hg 2.87, 2 Bi 3.03, 2 Tl 3.18
Hg 0.3691 0.1309 0.5000  1 Hg 2.87, 2 Bi 3.03, 2 Tl 3.18
Hg 0.6309 0.8691 0.5000  1 Hg 2.87, 2 Bi 3.03, 2 Tl 3.18
Hg 0.8691 0.3691 0.5000  1 Hg 2.87, 2 Bi 3.03, 2 Tl 3.18
Bi 0.0000 0.0000 0.5000  4 Hg 3.03
Bi 0.5000 0.5000 0.5000  4 Hg 3.03



No. 8
Density functional theory data (PBEsol) for crystalline ZrTlHg2Bi at its relaxed geometry.

Summary:
The magnetization comes out at 0.00 μB per formula unit. The value obtained for the volume is 169.3 Å³/cell. For the energy of formation from the pure elements, the calculation gives 267.2 meV per atom. The energy is -15.80 eV/cell.

Lattice parameters (Å, degrees): 5.5142 5.5142 5.5691 90.00 90.00 90.00
With the nearest neighbours (Å) after each atom.
Fractional positions:
Zr 0.0000 0.0000 0.0000  4 Hg 2.76, 2 Bi 2.78
Tl 0.5000 0.5000 0.5000  4 Bi 3.90, 8 Hg 3.92
Hg 0.0000 0.5000 0.0000  2 Zr 2.76
Hg 0.5000 0.0000 0.0000  2 Zr 2.76
Bi 0.0000 0.0000 0.5000  2 Zr 2.78